Compound: BRuSCl2
Source: Alexandria
Functional: SCAN
Structure: single point on PBEsol structure

Computed properties:
Calculated total energy   -12.632 eV per atom
Fermi-level density of states   3.41 states/eV/f.u.
Space-group type   P4/mmm, No. 123
Theoretical density   4796 kg/m³
Energy relative to the elements, uncorrected   0.936 eV per atom

a b c (Å): 4.0966 4.0966 4.4331
angles (deg): 90.00 90.00 90.00
Fractional coordinates of all 5 atoms:
Ru 0.5000 0.5000 0.5000
S 0.0000 0.0000 0.5000
B 0.0000 0.0000 0.0000
Cl 0.0000 0.5000 0.0000
Cl 0.5000 0.0000 0.0000



Compound: TlBRuCl2
Source: Alexandria
Functional: SCAN
Structure: single point on PBEsol structure

Computed properties:
Calculated total energy   -24.876 eV per atom
Fermi-level density of states   1.44 states/eV/f.u.
Space-group type   P4/mmm, No. 123
Theoretical density   5097 kg/m³
Energy relative to the elements, uncorrected   1.238 eV per atom

a b c (Å): 4.1872 5.4885 5.4885
angles (deg): 90.00 90.00 90.00
Fractional coordinates of all 5 atoms:
Ru 0.5000 0.5000 0.5000
Tl 0.0000 0.0000 0.0000
B 0.5000 0.0000 0.0000
Cl 0.0000 0.0000 0.5000
Cl 0.0000 0.5000 0.0000



Compound: TaBS2Cl
Source: Alexandria
Functional: SCAN
Structure: single point on PBEsol structure

Computed properties:
Calculated total energy   -19.524 eV per atom
Fermi-level density of states   2.91 states/eV/f.u.
Space-group type   P4/mmm, No. 123
Theoretical density   6999 kg/m³
Energy relative to the elements, uncorrected   0.726 eV per atom

a b c (Å): 3.9776 4.1686 4.1686
angles (deg): 90.00 90.00 90.00
Fractional coordinates of all 5 atoms:
S 0.0000 0.0000 0.5000
S 0.0000 0.5000 0.0000
Cl 0.5000 0.0000 0.0000
B 0.0000 0.0000 0.0000
Ta 0.5000 0.5000 0.5000



Compound: TcBSCl2
Source: Alexandria
Functional: SCAN
Structure: single point on PBEsol structure

Computed properties:
Calculated total energy   -12.865 eV per atom
Fermi-level density of states   2.39 states/eV/f.u.
Space-group type   P4/mmm, No. 123
Theoretical density   3470 kg/m³
Energy relative to the elements, uncorrected   0.750 eV per atom

a b c (Å): 4.3989 4.7998 4.7998
angles (deg): 90.00 90.00 90.00
Fractional coordinates of all 5 atoms:
S 0.5000 0.0000 0.0000
B 0.5000 0.5000 0.5000
Tc 0.0000 0.0000 0.0000
Cl 0.0000 0.0000 0.5000
Cl 0.0000 0.5000 0.0000



Compound: BTeSCl2
Source: Alexandria
Functional: SCAN
Structure: single point on PBEsol structure

Computed properties:
Calculated total energy   -13.554 eV per atom
Fermi-level density of states   3.00 states/eV/f.u.
Space-group type   P4/mmm, No. 123
Theoretical density   4778 kg/m³
Energy relative to the elements, uncorrected   0.498 eV per atom

a b c (Å): 4.2069 4.2069 4.7401
angles (deg): 90.00 90.00 90.00
Fractional coordinates of all 5 atoms:
S 0.0000 0.0000 0.5000
Te 0.5000 0.5000 0.5000
B 0.0000 0.0000 0.0000
Cl 0.0000 0.5000 0.0000
Cl 0.5000 0.0000 0.0000



Compound: TlBS2Cl
Source: Alexandria
Functional: SCAN
Structure: single point on PBEsol structure

Computed properties:
Calculated total energy   -21.131 eV per atom
Fermi-level density of states   2.37 states/eV/f.u.
Space-group type   P4/mmm, No. 123
Theoretical density   6129 kg/m³
Energy relative to the elements, uncorrected   0.273 eV per atom

a b c (Å): 4.2085 4.2085 4.8154
angles (deg): 90.00 90.00 90.00
Fractional coordinates of all 5 atoms:
Tl 0.5000 0.5000 0.5000
B 0.0000 0.0000 0.0000
S 0.0000 0.5000 0.0000
S 0.5000 0.0000 0.0000
Cl 0.0000 0.0000 0.5000



Compound: TlBS2Cl
Source: Alexandria
Functional: SCAN
Structure: single point on PBEsol structure

Computed properties:
Calculated total energy   -20.146 eV per atom
Fermi-level density of states   3.70 states/eV/f.u.
Space-group type   P4/mmm, No. 123
Theoretical density   3966 kg/m³
Energy relative to the elements, uncorrected   1.259 eV per atom

a b c (Å): 5.0093 5.0093 5.2518
angles (deg): 90.00 90.00 90.00
Fractional coordinates of all 5 atoms:
Tl 0.0000 0.0000 0.0000
B 0.5000 0.5000 0.5000
S 0.0000 0.5000 0.0000
S 0.5000 0.0000 0.0000
Cl 0.0000 0.0000 0.5000



Compound: ZnBS2Cl
Source: Alexandria
Functional: SCAN
Structure: single point on PBEsol structure

Computed properties:
Calculated total energy   -9.099 eV per atom
Fermi-level density of states   1.36 states/eV/f.u.
Space-group type   P4/mmm, No. 123
Theoretical density   3915 kg/m³
Energy relative to the elements, uncorrected   0.537 eV per atom

a b c (Å): 4.2184 4.2184 4.1906
angles (deg): 90.00 90.00 90.00
Fractional coordinates of all 5 atoms:
Zn 0.5000 0.5000 0.5000
B 0.0000 0.0000 0.0000
S 0.0000 0.5000 0.0000
S 0.5000 0.0000 0.0000
Cl 0.0000 0.0000 0.5000